Entry from Alexandria: a relaxed structure of Gd2Mo2O7 (PBE with a Hubbard U). Values from VASP.

Values from the calculation:
The space group is No. 227. The value obtained for the size of the total moment is 1.636 μB per atom. For the total energy, the calculation gives -209.88 eV per cell.

```
&SYSTEM
  ibrav = 0, nat = 22, ntyp = 3
/
ATOMIC_SPECIES
Gd 157.25 Gd.upf
Mo 95.94 Mo.upf
O 16.00 O.upf
CELL_PARAMETERS angstrom
0.0000 5.2456 5.2456
5.2456 0.0000 5.2456
5.2456 5.2456 0.0000
ATOMIC_POSITIONS angstrom
Gd 0.0000 0.0000 0.0000
Gd 2.6228 2.6228 0.0000
Gd 2.6228 0.0000 2.6228
Gd 0.0000 2.6228 2.6228
Mo 5.2456 2.6228 2.6228
Mo 2.6228 5.2456 2.6228
Mo 2.6228 2.6228 5.2456
Mo 5.2456 5.2456 5.2456
O 1.3114 1.3114 1.3114
O 3.9342 3.9342 1.7169
O 3.9342 1.7169 3.9342
O 6.1514 3.9342 3.9342
O 6.5570 6.5570 4.3397
O 6.5570 4.3397 6.5570
O 8.7742 6.5570 6.5570
O 1.7169 3.9342 3.9342
O 3.9342 6.1514 3.9342
O 3.9342 3.9342 6.1514
O 4.3397 6.5570 6.5570
O 6.5570 8.7742 6.5570
O 6.5570 6.5570 8.7742
O 9.1798 9.1798 9.1798
```

Entry from Alexandria: a relaxed structure of Gd2MoO6 (PBE with a Hubbard U). Values from VASP.

Values from the calculation:
The space group is No. 15. The value obtained for the size of the total moment is 0.778 μB per atom. For the total energy, the calculation gives -358.48 eV per cell.

```
&SYSTEM
  ibrav = 0, nat = 36, ntyp = 3
/
ATOMIC_SPECIES
Gd 157.25 Gd.upf
Mo 95.94 Mo.upf
O 16.00 O.upf
CELL_PARAMETERS angstrom
8.3313 -5.6498 0.0000
8.3313 5.6498 0.0000
-1.6999 0.0000 5.2048
ATOMIC_POSITIONS angstrom
Gd 1.3273 1.3093 4.5815
Gd 7.0564 4.4264 3.9036
Gd 2.1773 -1.3093 1.9791
Gd 7.9064 1.5310 1.3012
Gd 7.0564 -1.5310 3.9036
Gd 12.7855 1.3093 3.2257
Gd 7.9064 -4.4264 1.3012
Gd 13.6354 -1.3093 0.6233
Mo 4.8204 1.6172 2.9145
Mo 5.6703 -1.6172 0.3121
Mo 9.2924 1.6172 4.8927
Mo 10.1424 -1.6172 2.2903
O 4.0877 2.2956 1.3506
O 1.3976 0.1923 0.4053
O 0.5477 -0.1923 3.0077
O 6.4023 2.9829 2.1609
O 5.1060 2.4989 4.5101
O 3.3470 0.6094 3.3156
O 9.4104 2.9829 0.4415
O 4.1970 -0.6094 0.7132
O 9.0068 2.4989 3.2971
O 6.1230 0.3730 2.6830
O 6.9729 -0.3730 0.0806
O 3.2378 -2.2956 3.9530
O 11.7250 2.2956 1.2518
O 7.9898 0.3730 5.1242
O 8.8398 -0.3730 2.5218
O 5.9560 -2.4989 1.9077
O 10.7658 0.6094 4.4915
O 5.5524 -2.9829 4.7633
O 11.6158 -0.6094 1.8891
O 9.8567 -2.4989 0.6947
O 8.5604 -2.9829 3.0439
O 14.4151 0.1923 2.1971
O 13.5651 -0.1923 4.7994
O 10.8750 -2.2956 3.8542
```

Entry from Alexandria: a relaxed structure of Gd2MoSe3O12 (PBE with a Hubbard U). Values from VASP.

Values from the calculation:
The space group is No. 2. The value obtained for the size of the total moment is 0.775 μB per atom. For the total energy, the calculation gives -275.28 eV per cell.

```
&SYSTEM
  ibrav = 0, nat = 36, ntyp = 4
/
ATOMIC_SPECIES
Gd 157.25 Gd.upf
Mo 95.94 Mo.upf
Se 78.96 Se.upf
O 16.00 O.upf
CELL_PARAMETERS angstrom
6.6656 0.0000 0.0000
0.4552 7.2032 0.0000
3.1859 0.7369 10.5000
ATOMIC_POSITIONS angstrom
Gd 1.9824 1.4205 1.7542
Gd 3.5129 2.9609 5.1536
Gd 6.7938 4.9792 5.3464
Gd 8.3244 6.5195 8.7458
Mo 4.4300 1.3598 8.3199
Mo 5.8767 6.5803 2.1801
Se 2.3246 4.9111 2.2708
Se 3.4091 6.5692 5.3294
Se 5.3002 5.2391 9.0050
Se 5.0065 2.7010 1.4950
Se 6.8977 1.3708 5.1706
Se 7.9821 3.0290 8.2292
O 1.6136 1.6593 4.1229
O 1.3943 6.4148 2.0491
O 2.0436 4.6238 4.0065
O 1.3655 3.6915 1.5758
O 4.1803 6.5920 8.6177
O 4.5658 1.9084 10.0008
O 3.7473 0.7035 6.1318
O 4.4214 2.8699 7.3596
O 4.4053 5.1756 5.6712
O 3.8642 2.7027 2.8266
O 6.3772 5.9667 10.1014
O 4.2059 7.1820 2.4712
O 6.1008 0.7581 8.0288
O 3.9295 1.9734 0.3986
O 6.4425 5.2374 7.6735
O 5.9014 2.7645 4.8288
O 5.8853 5.0702 3.1404
O 6.5594 7.2365 4.3682
O 5.7409 6.0316 0.4992
O 6.1264 1.3481 1.8823
O 8.9412 4.2485 8.9242
O 8.2632 3.3162 6.4935
O 8.9124 1.5252 8.4510
O 8.6932 6.2808 6.3771
```

Which formula does entry 1 have?
Gd2Mo2O7